No. 1
MgTlPd3, relaxed, DFT GGA-PBE; calculated formation energy = -391 meV/atom; excess energy over the best structure of this formula in the dataset = 13 meV per atom; symmetry = No. 11; calculated total energy = -42.99 eV per cell; magnetization = 0.00 μB/f.u.
1.0
4.656 0.000 0.000
0.000 4.655 0.000
-2.314 0.000 7.920
Mg Tl Pd
2 2 6
direct
0.143 0.250 0.286 Mg
0.857 0.750 0.714 Mg
0.353 0.250 0.706 Tl
0.647 0.750 0.294 Tl
0.052 0.750 0.104 Pd
0.250 0.750 0.500 Pd
0.447 0.750 0.896 Pd
0.553 0.250 0.104 Pd
0.750 0.250 0.500 Pd
0.948 0.250 0.896 Pd

=====

No. 2
TbGdTi4, relaxed, DFT GGA-PBE; calculated formation energy = 237 meV/atom; symmetry = No. 216; calculated total energy = -48.87 eV per cell; magnetization = 16.68 μB/f.u.
1.0
0.000 4.117 4.117
4.117 0.000 4.117
4.117 4.117 0.000
Tb Gd Ti
1 1 4
direct
0.000 0.000 0.000 Tb
0.250 0.250 0.250 Gd
0.124 0.625 0.625 Ti
0.625 0.124 0.625 Ti
0.625 0.625 0.124 Ti
0.625 0.625 0.625 Ti

=====

No. 3
Tl2AsW, relaxed, DFT GGA-PBE; calculated formation energy = 1000 meV/atom; excess energy over the best structure of this formula in the dataset = 663 meV per atom; symmetry = No. 47; calculated total energy = -18.34 eV per cell; magnetization = 0.00 μB/f.u.
1.0
3.079 0.000 0.000
0.000 5.274 0.000
0.000 0.000 5.325
Tl As W
2 1 1
direct
0.000 0.000 0.000 Tl
0.500 0.500 0.000 Tl
0.000 0.500 0.500 As
0.500 0.000 0.500 W

=====

No. 4
NaHgPd3, relaxed, DFT GGA-PBE; calculated formation energy = 555 meV/atom; excess energy over the best structure of this formula in the dataset = 518 meV per atom; symmetry = No. 221; calculated total energy = -14.43 eV per cell; magnetization = 0.00 μB/f.u.
1.0
5.128 0.000 0.000
0.000 5.128 0.000
0.000 0.000 5.128
Na Hg Pd
1 1 3
direct
0.000 0.000 0.000 Na
0.500 0.500 0.500 Hg
0.000 0.500 0.500 Pd
0.500 0.000 0.500 Pd
0.500 0.500 0.000 Pd